Dy3YTm5 (GGA-PBE, relaxed); total DFT energy (no corrections) = -83.8 eV/cell; ΔE to the lowest computed polymorph = 0 meV per atom; density of states at the Fermi level = 1.807 states/eV/atom; magnetization = 0.00 Bohr magnetons per cell; formation energy from the elements = 1.8 kcal/mol of atoms
1.0
7.432 -4.817 0.000
7.432 4.817 0.000
-4.320 0.000 7.723
Dy Y Tm
6 2 10
Cartesian
3.716 2.408 0.000
2.591 2.430 6.430
5.793 2.430 5.154
1.556 -2.408 3.862
4.751 -2.430 2.569
7.953 -2.430 1.293
6.352 0.789 1.931
4.192 -0.789 5.792
-0.044 0.810 4.501
6.352 4.013 1.931
3.138 0.805 3.207
2.115 -0.810 0.640
0.978 -0.805 7.069
9.567 0.805 0.654
8.429 0.810 7.083
7.407 -0.805 4.516
4.192 -4.013 5.792
10.589 -0.810 3.222



Dy7Y12Tm (GGA-PBE, relaxed); total DFT energy (no corrections) = -108.6 eV/cell; ΔE to the lowest computed polymorph = 0 meV per atom; density of states at the Fermi level = 0.962 states/eV/atom; magnetization = 0.00 Bohr magnetons per cell; formation energy from the elements = 6.5 kcal/mol of atoms
1.0
6.409 3.700 4.555
-6.409 3.700 4.555
0.000 -7.401 4.555
Dy Y Tm
7 12 1
Cartesian
0.000 0.000 0.000
-1.714 -1.449 4.720
-0.398 2.209 4.720
2.112 -0.760 4.720
-2.112 0.760 8.944
0.398 -2.209 8.944
1.714 1.449 8.944
-0.413 -2.227 2.042
-1.722 1.471 2.042
-3.582 1.121 5.725
-2.762 -2.541 7.940
0.820 -3.663 5.725
2.135 0.756 2.042
-2.135 -0.756 11.622
-0.820 3.663 7.940
2.762 2.541 5.725
3.582 -1.121 7.940
1.722 -1.471 11.622
0.413 2.227 11.622
0.000 0.000 6.832



DyY5Tm7 (GGA-PBE, relaxed); total DFT energy (no corrections) = -64.6 eV/cell; density of states at the Fermi level = 1.921 states/eV/atom; magnetization = 0.00 Bohr magnetons per cell; formation energy from the elements = 6.5 kcal/mol of atoms
1.0
-3.348 5.495 5.727
3.348 -5.495 5.727
3.348 5.495 -5.727
Dy Y Tm
1 5 7
Cartesian
0.000 0.000 0.000
1.544 2.457 2.274
5.152 2.457 2.274
0.000 5.495 2.266
-1.804 3.039 8.001
1.804 3.039 8.001
3.348 1.874 -0.582
3.348 0.000 2.262
3.348 -1.866 5.119
0.000 0.000 4.496
3.348 1.866 5.119
0.000 0.000 7.976
0.000 3.621 5.145



Dy2YTm (GGA-PBE, relaxed); total DFT energy (no corrections) = -19.6 eV/cell; ΔE to the lowest computed polymorph = 114 meV per atom; density of states at the Fermi level = 2.032 states/eV/atom; magnetization = 0.00 Bohr magnetons per cell; formation energy from the elements = 2.9 kcal/mol of atoms
1.0
3.995 0.000 0.000
0.000 3.995 0.000
0.000 0.000 7.993
Dy Y Tm
2 1 1
Cartesian
0.000 0.000 1.870
0.000 0.000 6.124
1.998 1.998 3.997
1.998 1.998 0.000



Dy2Y5Tm (GGA-PBE, relaxed); total DFT energy (no corrections) = -91.6 eV/cell; ΔE to the lowest computed polymorph = 0 meV per atom; density of states at the Fermi level = 1.290 states/eV/atom; magnetization = 0.00 Bohr magnetons per cell; formation energy from the elements = 0.5 kcal/mol of atoms
1.0
7.110 0.000 0.000
0.000 14.221 0.000
0.000 0.000 5.015
Dy Y Tm
4 10 2
Cartesian
1.771 1.767 0.000
1.784 8.878 0.000
5.326 5.343 0.000
5.339 12.453 0.000
7.108 3.543 2.507
0.000 7.110 2.507
0.002 10.678 2.507
1.781 5.339 0.000
1.774 12.449 0.000
3.555 0.000 2.507
3.553 3.567 2.507
3.557 10.653 2.507
5.336 1.771 0.000
5.329 8.882 0.000
0.000 0.000 2.507
3.555 7.110 2.507



Dy2Y5Tm3 (GGA-PBE, relaxed); total DFT energy (no corrections) = -106.0 eV/cell; ΔE to the lowest computed polymorph = 0 meV per atom; density of states at the Fermi level = 1.770 states/eV/atom; magnetization = 0.00 Bohr magnetons per cell; formation energy from the elements = 4.5 kcal/mol of atoms
1.0
5.332 -7.930 0.000
5.332 7.930 0.000
-5.318 0.000 7.713
Dy Y Tm
4 10 6
Cartesian
1.292 1.899 0.348
-1.366 -1.899 4.205
6.713 1.899 3.508
4.054 -1.899 7.365
-1.315 1.772 5.881
1.344 4.265 5.785
4.003 3.635 1.928
1.343 -1.772 2.025
4.003 0.479 1.928
1.344 -0.479 5.785
4.003 1.772 5.689
1.344 -3.635 5.785
4.003 -4.265 1.928
6.662 -1.772 1.832
1.344 7.464 5.785
1.295 1.886 3.484
-1.364 -1.886 7.340
6.710 1.886 0.373
4.052 -1.886 4.229
4.003 -7.464 1.928



Dy2YTm8 (GGA-PBE, relaxed); total DFT energy (no corrections) = -50.1 eV/cell; ΔE to the lowest computed polymorph = 0 meV per atom; density of states at the Fermi level = 1.510 states/eV/atom; magnetization = 0.00 Bohr magnetons per cell; formation energy from the elements = 2.8 kcal/mol of atoms
1.0
-2.709 4.016 7.853
2.709 -4.016 7.853
2.709 4.016 -7.853
Dy Y Tm
2 1 8
Cartesian
0.000 0.000 3.163
0.000 0.000 12.543
0.000 0.000 7.853
2.709 1.665 -2.189
0.000 1.653 0.000
2.709 0.000 5.328
2.709 1.665 2.189
0.000 2.351 5.664
0.000 4.016 2.525
0.000 6.379 0.000
0.000 2.351 10.042



Dy6YTm8 (GGA-PBE, relaxed); total DFT energy (no corrections) = -67.9 eV/cell; ΔE to the lowest computed polymorph = 0 meV per atom; density of states at the Fermi level = 1.496 states/eV/atom; magnetization = 0.00 Bohr magnetons per cell; formation energy from the elements = 3.1 kcal/mol of atoms
1.0
4.474 2.583 6.810
-4.474 2.583 6.810
0.000 -5.166 6.810
Dy Y Tm
6 1 8
Cartesian
-2.564 -2.040 9.362
-3.048 1.200 11.069
0.485 -3.240 11.069
-0.485 3.240 9.362
3.048 -1.200 9.362
2.564 2.040 11.069
0.000 0.000 10.216
0.000 0.000 1.558
-1.736 0.900 7.302
0.089 -1.953 7.302
-1.647 -1.053 13.129
1.647 1.053 7.302
-0.089 1.953 13.129
1.736 -0.900 13.129
0.000 0.000 18.873



Dy4Y15Tm (GGA-PBE, relaxed); total DFT energy (no corrections) = -119.4 eV/cell; density of states at the Fermi level = 1.417 states/eV/atom; magnetization = 0.00 Bohr magnetons per cell; formation energy from the elements = 0.6 kcal/mol of atoms
1.0
5.036 0.000 0.000
0.000 5.036 0.000
0.000 0.000 25.182
Dy Y Tm
4 15 1
Cartesian
0.000 0.000 2.522
0.000 0.000 7.563
0.000 0.000 17.619
0.000 0.000 22.660
0.000 2.518 0.000
0.000 2.518 5.044
0.000 2.518 10.086
0.000 2.518 15.096
0.000 2.518 20.139
2.518 0.000 0.000
2.518 0.000 5.044
2.518 0.000 10.086
2.518 0.000 15.096
2.518 0.000 20.139
2.518 2.518 2.522
2.518 2.518 7.567
2.518 2.518 12.591
2.518 2.518 17.616
2.518 2.518 22.660
0.000 0.000 12.591



Dy19Y4Tm6 (GGA-PBE, relaxed); total DFT energy (no corrections) = -128.5 eV/cell; density of states at the Fermi level = 1.647 states/eV/atom; magnetization = 0.00 Bohr magnetons per cell; formation energy from the elements = 9.3 kcal/mol of atoms
1.0
-6.218 6.218 6.218
6.218 -6.218 6.218
6.218 6.218 -6.218
Dy Y Tm
19 4 6
Cartesian
0.000 0.000 0.000
3.283 0.000 0.000
9.153 0.000 0.000
7.007 -2.782 2.943
3.436 3.276 -0.789
3.276 -0.789 3.436
0.000 3.283 0.000
0.000 0.000 3.283
9.000 3.276 0.789
2.943 7.007 -2.782
5.429 2.782 2.943
-0.789 3.436 3.276
2.943 5.429 2.782
2.782 2.943 5.429
0.000 9.153 0.000
0.000 0.000 9.153
3.276 0.789 9.000
-2.782 2.943 7.007
0.789 9.000 3.276
4.001 4.001 -4.001
4.001 -4.001 4.001
2.217 2.217 2.217
-4.001 4.001 4.001
6.218 0.000 1.589
6.218 4.629 0.000
1.589 6.218 0.000
4.629 0.000 6.218
0.000 1.589 6.218
0.000 6.218 4.629



DyY6Tm3 (GGA-PBE, relaxed); total DFT energy (no corrections) = -111.2 eV/cell; ΔE to the lowest computed polymorph = 0 meV per atom; density of states at the Fermi level = 1.571 states/eV/atom; magnetization = 0.00 Bohr magnetons per cell; formation energy from the elements = 2.8 kcal/mol of atoms
1.0
4.813 -10.412 0.000
4.813 10.412 0.000
0.000 0.000 6.363
Dy Y Tm
2 12 6
Cartesian
4.813 7.058 3.182
4.813 -7.058 0.000
4.813 10.091 1.917
3.110 4.558 5.155
3.072 1.234 0.344
4.813 4.155 1.706
3.072 -1.234 3.526
6.517 4.558 5.155
3.110 -4.558 1.973
6.554 1.234 0.344
4.813 -4.155 4.888
6.554 -1.234 3.526
6.517 -4.558 1.973
4.813 -10.091 5.098
1.620 2.629 3.006
1.620 -2.629 6.188
4.813 1.708 3.681
4.813 -1.708 0.499
8.006 2.629 3.006
8.006 -2.629 6.188



Dy2Y12Tm5 (GGA-PBE, relaxed); total DFT energy (no corrections) = -107.9 eV/cell; ΔE to the lowest computed polymorph = 0 meV per atom; density of states at the Fermi level = 1.715 states/eV/atom; magnetization = 0.00 Bohr magnetons per cell; formation energy from the elements = 1.5 kcal/mol of atoms
1.0
6.059 0.000 0.000
0.229 9.563 0.000
2.334 4.284 10.424
Dy Y Tm
2 12 5
Cartesian
1.464 0.863 0.280
7.158 12.984 10.144
0.836 7.801 2.460
1.597 8.687 5.731
1.184 4.292 1.338
4.246 11.288 9.616
3.790 3.436 4.136
3.849 9.534 3.026
4.773 4.312 7.398
4.832 10.410 6.288
4.377 2.558 0.808
7.438 9.554 9.086
7.025 5.160 4.693
7.787 6.045 7.963
1.910 12.132 6.838
4.608 7.785 8.527
4.311 6.923 5.212
4.015 6.061 1.897
6.712 1.715 3.586



Dy4Y5Tm3 (GGA-PBE, relaxed); total DFT energy (no corrections) = -61.3 eV/cell; ΔE to the lowest computed polymorph = 216 meV per atom; density of states at the Fermi level = 1.701 states/eV/atom; magnetization = 0.63 Bohr magnetons per cell; formation energy from the elements = 5.6 kcal/mol of atoms
1.0
8.045 -2.919 0.000
8.045 2.919 0.000
-4.123 0.000 8.247
Dy Y Tm
4 5 3
Cartesian
-0.515 0.000 3.632
-0.156 0.000 7.248
12.123 0.000 0.999
12.483 0.000 4.614
0.000 0.000 0.000
2.726 0.000 5.073
5.629 0.000 2.435
6.338 0.000 5.812
9.242 0.000 3.174
2.420 0.000 1.905
8.045 0.000 0.000
9.547 0.000 6.342



DyY5Tm (GGA-PBE, relaxed); total DFT energy (no corrections) = -81.0 eV/cell; density of states at the Fermi level = 1.904 states/eV/atom; magnetization = 0.00 Bohr magnetons per cell; formation energy from the elements = 2.9 kcal/mol of atoms
1.0
4.360 -4.806 0.000
4.360 4.806 0.000
-3.998 0.000 10.809
Dy Y Tm
2 10 2
Cartesian
1.361 2.451 8.107
3.360 -2.451 2.702
-1.590 0.659 7.182
0.409 -0.659 1.777
1.021 0.970 5.017
3.360 0.883 2.702
-0.978 -0.970 10.421
5.700 0.970 0.387
1.361 -0.883 8.107
3.701 -0.970 5.792
4.312 0.659 9.031
6.311 -0.659 3.627
2.180 2.403 0.000
0.181 -2.403 5.404



Dy5Y2Tm2 (GGA-PBE, relaxed); total DFT energy (no corrections) = -43.8 eV/cell; ΔE to the lowest computed polymorph = 0 meV per atom; density of states at the Fermi level = 2.152 states/eV/atom; magnetization = 0.00 Bohr magnetons per cell; formation energy from the elements = 2.7 kcal/mol of atoms
1.0
8.154 -2.869 0.000
8.154 2.869 0.000
-1.709 0.000 6.093
Dy Y Tm
5 2 2
Cartesian
0.000 0.000 0.000
3.289 0.000 0.410
4.138 0.000 3.906
10.459 0.000 2.187
11.309 0.000 5.683
6.766 0.000 1.313
7.832 0.000 4.780
0.767 0.000 3.162
13.831 0.000 2.931



DyY3Tm8 (GGA-PBE, relaxed); total DFT energy (no corrections) = -56.0 eV/cell; density of states at the Fermi level = 1.480 states/eV/atom; magnetization = 0.00 Bohr magnetons per cell; formation energy from the elements = 7.2 kcal/mol of atoms
1.0
-3.180 5.580 5.597
3.180 -5.580 5.597
3.180 5.580 -5.597
Dy Y Tm
1 3 8
Cartesian
0.000 0.000 0.000
3.180 0.000 2.795
0.000 0.000 5.597
0.000 5.580 2.801
3.180 3.699 -2.799
1.590 2.781 0.000
4.771 2.781 0.000
0.000 1.881 2.797
3.180 3.699 2.799
-1.590 2.799 5.597
1.590 2.799 5.597
0.000 1.881 8.396



DyY2Tm9 (GGA-PBE, relaxed); total DFT energy (no corrections) = -57.4 eV/cell; ΔE to the lowest computed polymorph = 0 meV per atom; density of states at the Fermi level = 1.471 states/eV/atom; magnetization = 0.00 Bohr magnetons per cell; formation energy from the elements = 0.7 kcal/mol of atoms
1.0
4.960 0.000 0.000
0.000 4.960 0.000
0.000 0.000 14.875
Dy Y Tm
1 2 9
Cartesian
0.000 0.000 0.000
0.000 0.000 4.953
0.000 0.000 9.922
0.000 2.480 2.466
0.000 2.480 7.438
0.000 2.480 12.409
2.480 0.000 2.466
2.480 0.000 7.438
2.480 0.000 12.409
2.480 2.480 0.000
2.480 2.480 4.954
2.480 2.480 9.921



Dy2Y6Tm (GGA-PBE, relaxed); total DFT energy (no corrections) = -103.8 eV/cell; ΔE to the lowest computed polymorph = 0 meV per atom; density of states at the Fermi level = 1.703 states/eV/atom; magnetization = 0.00 Bohr magnetons per cell; formation energy from the elements = 1.5 kcal/mol of atoms
1.0
10.857 -4.782 0.000
10.857 4.782 0.000
-1.505 0.000 5.518
Dy Y Tm
4 12 2
Cartesian
5.381 0.783 0.183
4.628 -0.783 2.942
15.580 0.783 2.576
14.828 -0.783 5.335
0.594 0.784 4.396
6.355 2.393 3.217
1.347 -0.784 1.637
8.869 0.781 0.719
13.101 2.393 5.061
8.117 -0.781 3.478
12.092 0.781 2.040
7.108 -2.393 0.458
11.339 -0.781 4.799
18.862 0.784 3.881
13.854 -2.393 2.301
19.614 -0.784 1.122
9.728 2.393 4.139
10.481 -2.393 1.380